Entry 1:
Compound: Zr3TiCo2N
Source: the Alexandria database
Functional: GGA-PBE
Structure: optimized geometry Values from VASP.

Cell and atoms, written as Quantum ESPRESSO input:
```
&SYSTEM
  ibrav = 0, nat = 14, ntyp = 4
/
ATOMIC_SPECIES
Zr 91.22 Zr.upf
Ti 47.87 Ti.upf
Co 58.93 Co.upf
N 14.01 N.upf
CELL_PARAMETERS angstrom
4.0269 0.0000 0.0000
0.0000 4.3808 0.0000
0.0000 0.0000 12.8996
ATOMIC_POSITIONS crystal
Zr 0.0000 0.0000 0.0000
Zr 0.0000 0.5000 0.1840
Zr 0.0000 0.5000 0.8160
Zr 0.5000 0.0000 0.3160
Zr 0.5000 0.0000 0.6840
Zr 0.5000 0.5000 0.5000
Ti 0.0000 0.0000 0.5000
Ti 0.5000 0.5000 0.0000
Co 0.0000 0.5000 0.3705
Co 0.0000 0.5000 0.6295
Co 0.5000 0.0000 0.1295
Co 0.5000 0.0000 0.8705
N 0.0000 0.5000 0.0000
N 0.5000 0.0000 0.5000
```

space-group type = Immm, No. 71
raw formation energy = -559 meV per atom



Entry 2:
Compound: BaTeF2
Source: the Alexandria database
Functional: GGA-PBE
Structure: optimized geometry Values from VASP.

Cell and atoms, written as Quantum ESPRESSO input:
```
&SYSTEM
  ibrav = 0, nat = 16, ntyp = 3
/
ATOMIC_SPECIES
Ba 137.33 Ba.upf
Te 127.60 Te.upf
F 19.00 F.upf
CELL_PARAMETERS angstrom
7.1171 0.0000 0.0000
0.0000 7.1171 0.0000
0.0000 0.0000 7.1171
ATOMIC_POSITIONS crystal
Ba 0.0000 0.0000 0.0000
Ba 0.0000 0.5000 0.5000
Ba 0.5000 0.0000 0.5000
Ba 0.5000 0.5000 0.0000
Te 0.0000 0.0000 0.5000
Te 0.0000 0.5000 0.0000
Te 0.5000 0.0000 0.0000
Te 0.5000 0.5000 0.5000
F 0.2500 0.2500 0.2500
F 0.2500 0.2500 0.7500
F 0.2500 0.7500 0.2500
F 0.2500 0.7500 0.7500
F 0.7500 0.2500 0.2500
F 0.7500 0.2500 0.7500
F 0.7500 0.7500 0.2500
F 0.7500 0.7500 0.7500
```

space-group type = Fm-3m, No. 225
raw formation energy = -1969 meV per atom



Entry 3:
Compound: MgGa8
Source: the Alexandria database
Functional: GGA-PBE
Structure: optimized geometry Values from VASP.

Cell and atoms, written as Quantum ESPRESSO input:
```
&SYSTEM
  ibrav = 0, nat = 9, ntyp = 2
/
ATOMIC_SPECIES
Mg 24.30 Mg.upf
Ga 69.72 Ga.upf
CELL_PARAMETERS angstrom
-4.2668 4.2668 2.3339
4.2668 -4.2668 2.3339
4.2668 4.2668 -2.3339
ATOMIC_POSITIONS crystal
Mg 0.0000 0.0000 0.0000
Ga 0.0000 0.3384 0.3384
Ga 0.0000 0.6616 0.6616
Ga 0.3325 0.3325 0.6649
Ga 0.3325 0.6675 0.0000
Ga 0.3384 0.0000 0.3384
Ga 0.6616 0.0000 0.6616
Ga 0.6675 0.3325 0.0000
Ga 0.6675 0.6675 0.3351
```

formation energy from the elements = -26 meV/atom
space-group type = I4/mmm, No. 139



Entry 4:
Compound: HfSiW3
Source: the Alexandria database
Functional: GGA-PBE
Structure: optimized geometry Values from VASP.

Cell and atoms, written as Quantum ESPRESSO input:
```
&SYSTEM
  ibrav = 0, nat = 5, ntyp = 3
/
ATOMIC_SPECIES
Hf 178.49 Hf.upf
Si 28.09 Si.upf
W 183.84 W.upf
CELL_PARAMETERS angstrom
4.7889 0.0000 0.0000
0.0000 4.7889 0.0000
0.0000 0.0000 4.7889
ATOMIC_POSITIONS crystal
Hf 0.0000 0.0000 0.0000
Si 0.5000 0.5000 0.5000
W 0.0000 0.0000 0.5000
W 0.0000 0.5000 0.0000
W 0.5000 0.0000 0.0000
```

space-group type = Pm-3m, No. 221
raw formation energy = 2720 meV per atom



Entry 5:
Compound: Mg2TaIr3
Source: the Alexandria database
Functional: GGA-PBE
Structure: optimized geometry Values from VASP.

Cell and atoms, written as Quantum ESPRESSO input:
```
&SYSTEM
  ibrav = 0, nat = 12, ntyp = 3
/
ATOMIC_SPECIES
Mg 24.30 Mg.upf
Ta 180.95 Ta.upf
Ir 192.22 Ir.upf
CELL_PARAMETERS angstrom
2.2437 -6.7243 0.0000
2.2437 6.7243 0.0000
0.0000 0.0000 6.2076
ATOMIC_POSITIONS crystal
Mg 0.0000 0.0000 0.0000
Mg 0.0000 0.0000 0.5000
Mg 0.3329 0.6671 0.0000
Mg 0.6671 0.3329 0.0000
Ta 0.3389 0.6611 0.5000
Ta 0.6611 0.3389 0.5000
Ir 0.1698 0.8302 0.2577
Ir 0.1698 0.8302 0.7423
Ir 0.5000 0.5000 0.2512
Ir 0.5000 0.5000 0.7488
Ir 0.8302 0.1698 0.2577
Ir 0.8302 0.1698 0.7423
```

formation energy from the elements = -578 meV/atom
space-group type = Cmmm, No. 65



Entry 6:
Compound: MnReP2
Source: the Alexandria database
Functional: GGA-PBE
Structure: optimized geometry Values from VASP.

Cell and atoms, written as Quantum ESPRESSO input:
```
&SYSTEM
  ibrav = 0, nat = 4, ntyp = 3
/
ATOMIC_SPECIES
Mn 54.94 Mn.upf
Re 186.21 Re.upf
P 30.97 P.upf
CELL_PARAMETERS angstrom
2.8196 0.0000 0.0000
0.0000 2.8196 0.0000
0.0000 0.0000 7.3652
ATOMIC_POSITIONS crystal
Mn 0.0000 0.0000 0.0000
Re 0.5000 0.5000 0.7636
P 0.0000 0.0000 0.5569
P 0.5000 0.5000 0.1657
```

formation energy from the elements = 1 meV/atom
space-group type = P4mm, No. 99



Table of calculated density (Mg/m³), in record order: 6.62; 5.58; 5.69; 11.46; 14.29; 8.60